[1]
4
Lattice="2.9814 0.0000 0.0000 0.0000 5.4172 0.0000 0.0000 0.0000 5.4172" Properties=species:S:1:pos:R:3 comment="Ca2MnMo | Alexandria | SCAN | PBEsol geometry" magnetic_moment_mub_per_atom=0.96 e_form_ev_per_atom=0.864 pbc="T T T"
Mo 1.4907 0.0000 0.0000
Mn 1.4907 2.7086 2.7086
Ca 0.0000 0.0000 2.7086
Ca 0.0000 2.7086 0.0000

[2]
6
Lattice="4.3806 0.0000 0.0000 0.0000 4.4585 0.0000 -2.1903 0.0000 4.7567" Properties=species:S:1:pos:R:3 comment="MgGaRu | Alexandria | SCAN | PBEsol geometry" magnetic_moment_mub_per_atom=0.00 e_form_ev_per_atom=-0.321 pbc="T T T"
Ru 0.0000 1.1146 2.3072
Ru 2.1903 3.3439 2.4494
Mg 0.0000 3.3439 0.8183
Mg 2.1903 1.1146 3.9384
Ga 0.0000 3.3439 3.5921
Ga 2.1903 1.1146 1.1645

[3]
5
Lattice="-2.3613 2.9514 2.9877 -4.2080 -0.4216 -2.9092 -1.5207 -4.0353 2.7844" Properties=species:S:1:pos:R:3 comment="CdReSn2Mo | Alexandria | SCAN | PBEsol geometry" magnetic_moment_mub_per_atom=0.54 e_form_ev_per_atom=0.938 pbc="T T T"
Re 0.0000 0.0000 0.0000
Mo -1.1806 1.4757 1.4939
Sn -0.7603 -2.0176 1.3922
Sn -2.1040 -0.2108 -1.4546
Cd -4.0450 -0.7528 1.4314

[4]
4
Lattice="5.1197 0.0000 0.0000 2.5598 4.4338 0.0000 2.5598 1.4779 4.1802" Properties=species:S:1:pos:R:3 comment="LaCeZn2 | Alexandria | SCAN | PBEsol geometry" magnetic_moment_mub_per_atom=0.30 e_form_ev_per_atom=-0.278 pbc="T T T"
Zn 2.5598 1.4779 1.0450
Zn 7.6795 4.4338 3.1351
Ce 5.1197 2.9558 2.0901
La 0.0000 0.0000 0.0000

[5]
4
Lattice="-2.0488 2.4151 -0.7362 -2.3916 -0.7505 -2.9866 -5.0821 -1.5294 1.9457" Properties=species:S:1:pos:R:3 comment="CoSi2Se | Alexandria | SCAN | PBEsol geometry" magnetic_moment_mub_per_atom=0.00 formation_energy_uncorrected_kj_per_mol_fu=63 pbc="T T T"
Si -7.0103 0.8166 0.6470
Si -7.0617 0.1134 -1.5166
Co -4.8910 0.0408 -0.6156
Se -2.4519 0.1177 0.0290

[6]
4
Lattice="-1.5475 0.0242 2.2350 2.0206 -2.8775 1.4302 4.0830 3.4320 1.1364" Properties=species:S:1:pos:R:3 comment="CrSiPt2 | Alexandria | SCAN | PBEsol geometry" magnetic_moment_mub_per_atom=0.78 formation_energy_uncorrected_kj_per_mol_fu=-167 pbc="T T T"
Cr 1.5290 -0.0815 2.7129
Pt 0.4745 0.4938 0.3232
Pt 3.8425 1.5088 2.6441
Si 1.9497 2.0291 1.3279

[7]
4
Lattice="-0.5644 2.8909 1.2703 -2.5940 -1.9560 3.2988 3.7475 -0.4469 2.6819" Properties=species:S:1:pos:R:3 comment="Ta3Cl | Alexandria | SCAN | PBEsol geometry" magnetic_moment_mub_per_atom=0.00 formation_energy_uncorrected_kj_per_mol_fu=249 pbc="T T T"
Cl 0.0000 0.0000 0.0000
Ta -1.5792 0.4675 2.2846
Ta 0.5768 -1.2014 2.9903
Ta 1.5916 1.2220 1.9761

[8]
5
Lattice="-3.1996 -1.2709 -3.4903 -0.4240 -4.4516 2.0096 -3.6902 1.6134 2.7954" Properties=species:S:1:pos:R:3 comment="Cd3NiP | Alexandria | SCAN | PBEsol geometry" magnetic_moment_mub_per_atom=0.00 e_form_ev_per_atom=0.925 pbc="T T T"
Ni -3.6569 -2.0546 0.6574
P 0.0000 0.0000 0.0000
Cd -0.2120 -2.2258 1.0048
Cd -1.8451 0.8067 1.3977
Cd -1.5998 -0.6354 -1.7452